Entry 1:
# Tb4Ho5Tm2, optimized geometry, DFT GGA-PBE
# Energy relative to the lowest polymorph listed for this composition, meV/atom: 0
# Final energy, eV/atom: -4.519
# ΔH_f (0 K), eV per atom: 0.0582
data_Tb4Ho5Tm2
_chemical_formula_sum 'Tb8 Ho10 Tm4'
_cell_length_a 21.315
_cell_length_b 3.619
_cell_length_c 9.147
_cell_angle_alpha 90.00
_cell_angle_beta 102.57
_cell_angle_gamma 90.00
_space_group_name_H-M_alt 'C 1 2/m 1'
_space_group_IT_number 12
loop_
_space_group_symop_operation_xyz
'x,y,z'
'-x,-y,-z'
'-x,y,-z'
'x,-y,z'
'x+1/2,y+1/2,z'
'-x+1/2,-y+1/2,-z'
'-x+1/2,y+1/2,-z'
'x+1/2,-y+1/2,z'
loop_
_atom_site_label
_atom_site_fract_x
_atom_site_fract_y
_atom_site_fract_z
Tb1 0.027 0.000 0.200
Tb2 0.172 0.500 0.417
Ho1 0.000 0.500 0.500
Ho2 0.118 0.000 0.698
Ho3 0.249 0.000 0.169
Tm1 0.115 0.500 0.005

---

Entry 2:
# Pr7Cd2Hg2, optimized geometry, DFT GGA-PBE
# Final energy, eV/atom: -3.319
# ΔH_f (0 K), eV per atom: -0.0559
data_Pr7Cd2Hg2
_chemical_formula_sum 'Pr14 Cd4 Hg4'
_cell_length_a 7.902
_cell_length_b 11.336
_cell_length_c 8.350
_cell_angle_alpha 90.00
_cell_angle_beta 90.00
_cell_angle_gamma 90.00
_space_group_name_H-M_alt 'C m m m'
_space_group_IT_number 65
_space_group_name_Hall '-C 2 2'
loop_
_atom_site_label
_atom_site_fract_x
_atom_site_fract_y
_atom_site_fract_z
Pr1 0.000 0.000 0.000
Pr2 0.000 0.500 0.263
Pr3 0.250 0.250 0.288
Cd1 0.174 0.000 0.500
Hg1 0.000 0.290 0.000

---

Entry 3:
# BaSr2In2, optimized geometry, DFT GGA-PBE
# Energy relative to the lowest polymorph listed for this composition, meV/atom: 226
# Final energy, eV/atom: -2.253
# ΔH_f (0 K), eV per atom: -0.1001
data_BaSr2In2
_chemical_formula_sum 'Ba2 Sr4 In4'
_cell_length_a 6.062
_cell_length_b 6.062
_cell_length_c 12.352
_cell_angle_alpha 90.00
_cell_angle_beta 90.00
_cell_angle_gamma 90.00
_space_group_name_H-M_alt 'I 4/m m m'
_space_group_IT_number 139
_space_group_name_Hall '-I 4 2'
loop_
_atom_site_label
_atom_site_fract_x
_atom_site_fract_y
_atom_site_fract_z
Ba1 0.000 0.000 0.000
Sr1 0.000 0.000 0.348
In1 0.000 0.500 0.250

---

Entry 4:
# SnPt3O6, optimized geometry, DFT GGA-PBE
# Final energy, eV/atom: -5.837
# Uncorrected formation energy, eV per atom: -0.65
data_SnPt3O6
_chemical_formula_sum 'Sn2 Pt6 O12'
_cell_length_a 6.942
_cell_length_b 10.065
_cell_length_c 3.599
_cell_angle_alpha 90.00
_cell_angle_beta 90.00
_cell_angle_gamma 90.00
_space_group_name_H-M_alt 'C m m m'
_space_group_IT_number 65
_space_group_name_Hall '-C 2 2'
loop_
_atom_site_label
_atom_site_fract_x
_atom_site_fract_y
_atom_site_fract_z
Sn1 0.000 0.000 0.000
Pt1 0.000 0.500 0.000
Pt2 0.250 0.250 0.500
O1 0.000 0.144 0.500
O2 0.216 0.370 0.000

---

Entry 5:
# HoSnPt, optimized geometry, DFT GGA-PBE
# Final energy, eV/atom: -5.975
# ΔH_f (0 K), eV per atom: -1.1009
data_HoSnPt
_chemical_formula_sum 'Ho3 Sn3 Pt3'
_cell_length_a 7.5043
_cell_length_b 7.5043
_cell_length_c 4.0096
_cell_angle_alpha 90.00
_cell_angle_beta 90.00
_cell_angle_gamma 120.00
_space_group_name_H-M_alt 'P -6 2 m'
_space_group_IT_number 189
_space_group_name_Hall 'P -6 -2'
loop_
_atom_site_label
_atom_site_fract_x
_atom_site_fract_y
_atom_site_fract_z
Ho1 0.0000 0.5952 0.0000
Sn1 0.0000 0.2596 0.5000
Pt1 0.0000 0.0000 0.0000
Pt2 0.3333 0.6667 0.5000

---

Entry 6:
# Ga2Sb2Os, optimized geometry, DFT GGA-PBE
# Energy relative to the lowest polymorph listed for this composition, meV/atom: 0
# Final energy, eV/atom: -4.661
# Uncorrected formation energy, eV per atom: 0.45
data_Ga2Sb2Os
_chemical_formula_sum 'Ga4 Sb4 Os2'
_cell_length_a 6.628
_cell_length_b 6.628
_cell_length_c 4.684
_cell_angle_alpha 90.00
_cell_angle_beta 90.00
_cell_angle_gamma 90.00
_space_group_name_H-M_alt 'P 4/m b m'
_space_group_IT_number 127
_space_group_name_Hall '-P 4 2ab'
loop_
_atom_site_label
_atom_site_fract_x
_atom_site_fract_y
_atom_site_fract_z
Ga1 0.143 0.357 0.000
Sb1 0.175 0.675 0.500
Os1 0.000 0.000 0.000

---

Entry 7:
# Zn2AgOs, optimized geometry, DFT GGA-PBE
# Energy relative to the lowest polymorph listed for this composition, meV/atom: 178
# Final energy, eV/atom: -3.867
# ΔH_f (0 K), eV per atom: 0.2904
data_Zn2AgOs
_chemical_formula_sum 'Zn4 Ag2 Os2'
_cell_length_a 2.825
_cell_length_b 4.694
_cell_length_c 9.219
_cell_angle_alpha 90.00
_cell_angle_beta 90.00
_cell_angle_gamma 90.00
_space_group_name_H-M_alt 'C m m 2'
_space_group_IT_number 35
loop_
_space_group_symop_operation_xyz
'x,y,z'
'-x,-y,z'
'-x,y,z'
'x,-y,z'
'x+1/2,y+1/2,z'
'-x+1/2,-y+1/2,z'
'-x+1/2,y+1/2,z'
'x+1/2,-y+1/2,z'
loop_
_atom_site_label
_atom_site_fract_x
_atom_site_fract_y
_atom_site_fract_z
Zn1 0.000 0.000 0.000
Zn2 0.000 0.500 0.240
Ag1 0.000 0.500 0.749
Os1 0.000 0.000 0.479

---

Entry 8:
# CaTc3Au, optimized geometry, DFT GGA-PBE
# Energy relative to the lowest polymorph listed for this composition, meV/atom: 0
# Final energy, eV/atom: -5.383
# ΔH_f (0 K), eV per atom: 1.8922
data_CaTc3Au
_chemical_formula_sum 'Ca1 Tc3 Au1'
_cell_length_a 4.902
_cell_length_b 4.902
_cell_length_c 4.902
_cell_angle_alpha 90.00
_cell_angle_beta 90.00
_cell_angle_gamma 90.00
_space_group_name_H-M_alt 'P m -3 m'
_space_group_IT_number 221
_space_group_name_Hall '-P 4 2 3'
loop_
_atom_site_label
_atom_site_fract_x
_atom_site_fract_y
_atom_site_fract_z
Ca1 0.000 0.000 0.000
Tc1 0.000 0.500 0.500
Au1 0.500 0.500 0.500

---

Entry 9:
# La2ThS5, optimized geometry, DFT GGA-PBE
# Final energy, eV/atom: -6.901
# Uncorrected formation energy, eV per atom: -2.16
data_La2ThS5
_chemical_formula_sum 'La8 Th4 S20'
_cell_length_a 12.173
_cell_length_b 8.373
_cell_length_c 7.640
_cell_angle_alpha 90.00
_cell_angle_beta 90.00
_cell_angle_gamma 90.00
_space_group_name_H-M_alt 'P n m a'
_space_group_IT_number 62
loop_
_space_group_symop_operation_xyz
'x,y,z'
'-x,-y,-z'
'-x+1/2,-y,z+1/2'
'x+1/2,y,-z+1/2'
'x+1/2,-y+1/2,-z+1/2'
'-x+1/2,y+1/2,z+1/2'
'-x,y+1/2,-z'
'x,-y+1/2,z'
loop_
_atom_site_label
_atom_site_fract_x
_atom_site_fract_y
_atom_site_fract_z
La1 0.177 0.001 0.021
Th1 0.009 0.250 0.573
S1 0.002 0.250 0.955
S2 0.098 0.541 0.662
S3 0.188 0.250 0.332
S4 0.215 0.750 0.303

---

Entry 10:
# SmHfN2, optimized geometry, DFT GGA-PBE
# Final energy, eV/atom: -9.331
# Uncorrected formation energy, eV per atom: -1.50
data_SmHfN2
_chemical_formula_sum 'Sm3 Hf3 N6'
_cell_length_a 3.2915
_cell_length_b 3.2915
_cell_length_c 17.6266
_cell_angle_alpha 90.00
_cell_angle_beta 90.00
_cell_angle_gamma 120.00
_space_group_name_H-M_alt 'R 3 m'
_space_group_IT_number 160
_space_group_name_Hall 'R 3 -2"'
loop_
_atom_site_label
_atom_site_fract_x
_atom_site_fract_y
_atom_site_fract_z
Sm1 0.0000 0.0000 0.0000
Hf1 0.0000 0.0000 0.8269
N1 0.0000 0.0000 0.2319
N2 0.0000 0.0000 0.4254

---

Entry 11:
# Pm2Y2Al3, optimized geometry, DFT GGA-PBE
# Final energy, eV/atom: -5.074
# ΔH_f (0 K), eV per atom: -0.2657
data_Pm2Y2Al3
_chemical_formula_sum 'Pm4 Y4 Al6'
_cell_length_a 3.466
_cell_length_b 30.964
_cell_length_c 3.444
_cell_angle_alpha 90.00
_cell_angle_beta 90.00
_cell_angle_gamma 90.00
_space_group_name_H-M_alt 'C m m m'
_space_group_IT_number 65
_space_group_name_Hall '-C 2 2'
loop_
_atom_site_label
_atom_site_fract_x
_atom_site_fract_y
_atom_site_fract_z
Pm1 0.000 0.067 0.000
Y1 0.000 0.197 0.000
Al1 0.000 0.364 0.500
Al2 0.000 0.500 0.500

---

Entry 12:
# Sc3Zn2Hg2, optimized geometry, DFT GGA-PBE
# Final energy, eV/atom: -3.514
# ΔH_f (0 K), eV per atom: -0.3504
data_Sc3Zn2Hg2
_chemical_formula_sum 'Sc6 Zn4 Hg4'
_cell_length_a 4.176
_cell_length_b 20.425
_cell_length_c 3.290
_cell_angle_alpha 90.00
_cell_angle_beta 90.00
_cell_angle_gamma 90.00
_space_group_name_H-M_alt 'C m m m'
_space_group_IT_number 65
_space_group_name_Hall '-C 2 2'
loop_
_atom_site_label
_atom_site_fract_x
_atom_site_fract_y
_atom_site_fract_z
Sc1 0.000 0.000 0.000
Sc2 0.000 0.161 0.000
Zn1 0.000 0.282 0.500
Hg1 0.000 0.420 0.500

---

Entry 13:
# LiC4, optimized geometry, DFT GGA-PBE
# Energy relative to the lowest polymorph listed for this composition, meV/atom: 0
# Final energy, eV/atom: -6.636
# ΔH_f (0 K), eV per atom: 1.1262
data_LiC4
_chemical_formula_sum 'Li1 C4'
_cell_length_a 2.4814
_cell_length_b 2.4814
_cell_length_c 6.7664
_cell_angle_alpha 90.00
_cell_angle_beta 90.00
_cell_angle_gamma 120.00
_space_group_name_H-M_alt 'P -3 m 1'
_space_group_IT_number 164
_space_group_name_Hall '-P 3 2"'
loop_
_atom_site_label
_atom_site_fract_x
_atom_site_fract_y
_atom_site_fract_z
Li1 0.0000 0.0000 0.0000
C1 0.3333 0.6667 0.2385
C2 0.3333 0.6667 0.4574

---

Entry 14:
# La4HfU3N8, optimized geometry, DFT GGA-PBE
# Final energy, eV/atom: -9.577
# Uncorrected formation energy, eV per atom: -1.44
data_La4HfU3N8
_chemical_formula_sum 'La12 Hf3 U9 N24'
_cell_length_a 6.9808
_cell_length_b 6.9808
_cell_length_c 17.7469
_cell_angle_alpha 90.00
_cell_angle_beta 90.00
_cell_angle_gamma 120.00
_space_group_name_H-M_alt 'R -3 m'
_space_group_IT_number 166
_space_group_name_Hall '-R 3 2"'
loop_
_atom_site_label
_atom_site_fract_x
_atom_site_fract_y
_atom_site_fract_z
La1 0.0000 0.0000 0.0000
La2 0.0000 0.5000 0.0000
Hf1 0.0000 0.0000 0.5000
U1 0.0000 0.5000 0.5000
N1 0.0000 0.0000 0.2327
N2 0.0036 0.5018 0.2319

---

Entry 15:
# PrY2Tm9, optimized geometry, DFT GGA-PBE
# Energy relative to the lowest polymorph listed for this composition, meV/atom: 0
# Final energy, eV/atom: -4.799
# ΔH_f (0 K), eV per atom: 0.0304
data_PrY2Tm9
_chemical_formula_sum 'Pr1 Y2 Tm9'
_cell_length_a 4.981
_cell_length_b 4.981
_cell_length_c 14.943
_cell_angle_alpha 90.00
_cell_angle_beta 90.00
_cell_angle_gamma 90.00
_space_group_name_H-M_alt 'P 4/m m m'
_space_group_IT_number 123
_space_group_name_Hall '-P 4 2'
loop_
_atom_site_label
_atom_site_fract_x
_atom_site_fract_y
_atom_site_fract_z
Pr1 0.000 0.000 0.000
Y1 0.000 0.000 0.334
Tm1 0.000 0.500 0.168
Tm2 0.000 0.500 0.500
Tm3 0.500 0.500 0.000
Tm4 0.500 0.500 0.335

---

Entry 16:
# RePPt2, optimized geometry, DFT GGA-PBE
# Energy relative to the lowest polymorph listed for this composition, meV/atom: 33
# Final energy, eV/atom: -7.541
# ΔH_f (0 K), eV per atom: -0.0558
data_RePPt2
_chemical_formula_sum 'Re2 P2 Pt4'
_cell_length_a 3.724
_cell_length_b 2.903
_cell_length_c 10.996
_cell_angle_alpha 90.00
_cell_angle_beta 90.00
_cell_angle_gamma 90.00
_space_group_name_H-M_alt 'A m m 2'
_space_group_IT_number 38
loop_
_space_group_symop_operation_xyz
'x,y,z'
'-x,-y,z'
'-x,y,z'
'x,-y,z'
'x,y+1/2,z+1/2'
'-x,-y+1/2,z+1/2'
'-x,y+1/2,z+1/2'
'x,-y+1/2,z+1/2'
loop_
_atom_site_label
_atom_site_fract_x
_atom_site_fract_y
_atom_site_fract_z
Re1 0.000 0.000 0.000
P1 0.500 0.000 0.573
Pt1 0.000 0.000 0.718
Pt2 0.500 0.000 0.355

---

Entry 17:
# MnBi3Mo, optimized geometry, DFT GGA-PBE
# Energy relative to the lowest polymorph listed for this composition, meV/atom: 0
# Final energy, eV/atom: -5.392
# ΔH_f (0 K), eV per atom: 0.9366
data_MnBi3Mo
_chemical_formula_sum 'Mn1 Bi3 Mo1'
_cell_length_a 5.395
_cell_length_b 5.395
_cell_length_c 5.395
_cell_angle_alpha 90.00
_cell_angle_beta 90.00
_cell_angle_gamma 90.00
_space_group_name_H-M_alt 'P m -3 m'
_space_group_IT_number 221
_space_group_name_Hall '-P 4 2 3'
loop_
_atom_site_label
_atom_site_fract_x
_atom_site_fract_y
_atom_site_fract_z
Mn1 0.000 0.000 0.000
Bi1 0.000 0.500 0.500
Mo1 0.500 0.500 0.500

---

Entry 18:
# KGeP2, optimized geometry, DFT GGA-PBE
# Final energy, eV/atom: -4.139
# ΔH_f (0 K), eV per atom: -0.0052
data_KGeP2
_chemical_formula_sum 'K4 Ge4 P8'
_cell_length_a 7.296
_cell_length_b 7.296
_cell_length_c 7.672
_cell_angle_alpha 90.00
_cell_angle_beta 90.00
_cell_angle_gamma 90.00
_space_group_name_H-M_alt 'I -4 2 d'
_space_group_IT_number 122
_space_group_name_Hall 'I -4 2bw'
loop_
_atom_site_label
_atom_site_fract_x
_atom_site_fract_y
_atom_site_fract_z
K1 0.000 0.000 0.000
Ge1 0.000 0.000 0.500
P1 0.157 0.750 0.625

---

Entry 19:
# Li3PdAu5, optimized geometry, DFT GGA-PBE
# Energy relative to the lowest polymorph listed for this composition, meV/atom: 0
# Final energy, eV/atom: -3.441
# ΔH_f (0 K), eV per atom: -0.4058
data_Li3PdAu5
_chemical_formula_sum 'Li6 Pd2 Au10'
_cell_length_a 7.7542
_cell_length_b 7.7542
_cell_length_c 5.5501
_cell_angle_alpha 90.00
_cell_angle_beta 90.00
_cell_angle_gamma 120.00
_space_group_name_H-M_alt 'P 63/m c m'
_space_group_IT_number 193
_space_group_name_Hall '-P 6c 2'
loop_
_atom_site_label
_atom_site_fract_x
_atom_site_fract_y
_atom_site_fract_z
Li1 0.0000 0.3403 0.2500
Pd1 0.0000 0.0000 0.0000
Au1 0.0000 0.3200 0.7500
Au2 0.3333 0.6667 0.0000

---

Entry 20:
# LiAcY2, optimized geometry, DFT GGA-PBE
# Energy relative to the lowest polymorph listed for this composition, meV/atom: 171
# Final energy, eV/atom: -4.475
# ΔH_f (0 K), eV per atom: 0.2621
data_LiAcY2
_chemical_formula_sum 'Li3 Ac3 Y6'
_cell_length_a 3.6257
_cell_length_b 3.6257
_cell_length_c 37.2612
_cell_angle_alpha 90.00
_cell_angle_beta 90.00
_cell_angle_gamma 120.00
_space_group_name_H-M_alt 'R -3 m'
_space_group_IT_number 166
_space_group_name_Hall '-R 3 2"'
loop_
_atom_site_label
_atom_site_fract_x
_atom_site_fract_y
_atom_site_fract_z
Li1 0.0000 0.0000 0.0000
Ac1 0.0000 0.0000 0.5000
Y1 0.0000 0.0000 0.0872

---

Entry 21:
# RbPaO3, optimized geometry, DFT GGA-PBE
# Final energy, eV/atom: -7.927
# Uncorrected formation energy, eV per atom: -2.86
data_RbPaO3
_chemical_formula_sum 'Rb4 Pa4 O12'
_cell_length_a 14.763
_cell_length_b 3.583
_cell_length_c 8.161
_cell_angle_alpha 90.00
_cell_angle_beta 100.97
_cell_angle_gamma 90.00
_space_group_name_H-M_alt 'C 1 2/m 1'
_space_group_IT_number 12
loop_
_space_group_symop_operation_xyz
'x,y,z'
'-x,-y,-z'
'-x,y,-z'
'x,-y,z'
'x+1/2,y+1/2,z'
'-x+1/2,-y+1/2,-z'
'-x+1/2,y+1/2,-z'
'x+1/2,-y+1/2,z'
loop_
_atom_site_label
_atom_site_fract_x
_atom_site_fract_y
_atom_site_fract_z
Rb1 0.128 0.000 0.386
Pa1 0.149 0.500 0.862
O1 0.063 0.000 0.786
O2 0.184 0.500 0.642
O3 0.194 0.000 0.048

---

Entry 22:
# Ac3PrC8, optimized geometry, DFT GGA-PBE
# Final energy, eV/atom: -7.382
# ΔH_f (0 K), eV per atom: 0.1922
data_Ac3PrC8
_chemical_formula_sum 'Ac6 Pr2 C16'
_cell_length_a 7.679
_cell_length_b 7.679
_cell_length_c 8.164
_cell_angle_alpha 90.00
_cell_angle_beta 90.00
_cell_angle_gamma 90.00
_space_group_name_H-M_alt 'I -4 2 m'
_space_group_IT_number 121
_space_group_name_Hall 'I -4 2'
loop_
_atom_site_label
_atom_site_fract_x
_atom_site_fract_y
_atom_site_fract_z
Ac1 0.000 0.000 0.000
Ac2 0.000 0.500 0.250
Pr1 0.000 0.000 0.500
C1 0.162 0.162 0.282
C2 0.237 0.237 0.866

---

Entry 23:
# HfTh2Ga3Pt4, optimized geometry, DFT GGA-PBE
# Final energy, eV/atom: -6.757
# ΔH_f (0 K), eV per atom: -0.9532
data_HfTh2Ga3Pt4
_chemical_formula_sum 'Hf1 Th2 Ga3 Pt4'
_cell_length_a 4.270
_cell_length_b 4.270
_cell_length_c 11.013
_cell_angle_alpha 90.00
_cell_angle_beta 90.00
_cell_angle_gamma 90.00
_space_group_name_H-M_alt 'P -4 m 2'
_space_group_IT_number 115
loop_
_space_group_symop_operation_xyz
'x,y,z'
'y,-x,-z'
'-x,-y,z'
'-y,x,-z'
'-x,y,z'
'-y,-x,-z'
'x,-y,z'
'y,x,-z'
loop_
_atom_site_label
_atom_site_fract_x
_atom_site_fract_y
_atom_site_fract_z
Hf1 0.000 0.000 0.000
Th1 0.000 0.500 0.732
Ga1 0.000 0.500 0.372
Ga2 0.500 0.500 0.000
Pt1 0.000 0.000 0.500
Pt2 0.000 0.500 0.146
Pt3 0.500 0.500 0.500